# 1
The following is a PBE calculation of an optimized crystal structure of CaGe2Ir3, from Alexandria.

Summary:
Space group = C2/m (12)

Cell lengths 4.0835, 8.4783, 9.8667 Å; angles 107.83, 90.00, 103.94 degrees
Element x y z (fractional)
Ir 0.0397 0.0793 0.3317
Ir 0.2146 0.4292 0.3927
Ir 0.6203 0.2407 0.2002
Ir 0.3189 0.6377 0.0332
Ir 0.6811 0.3623 0.9668
Ir 0.7854 0.5708 0.6073
Ir 0.9603 0.9207 0.6683
Ir 0.5000 0.0000 0.5000
Ir 0.3797 0.7593 0.7998
Ge 0.1941 0.3881 0.1277
Ge 0.8059 0.6119 0.8723
Ge 0.3611 0.7222 0.5430
Ge 0.5388 0.0776 0.7853
Ge 0.6389 0.2778 0.4570
Ge 0.4612 0.9224 0.2147
Ca 0.8403 0.6806 0.2979
Ca 0.1597 0.3194 0.7021
Ca 0.0000 0.0000 0.0000



# 2
The following is a PBE calculation of an optimized crystal structure of CaGe3Ir, from Alexandria.

Summary:
Space group = Pm-3m (221)

Cell lengths 4.8937, 4.8937, 4.8937 Å; angles 90.00, 90.00, 90.00 degrees
Element x y z (fractional)
Ir 0.0000 0.0000 0.0000
Ge 0.0000 0.0000 0.5000
Ge 0.0000 0.5000 0.0000
Ge 0.5000 0.0000 0.0000
Ca 0.5000 0.5000 0.5000



# 3
The following is a PBE calculation of an optimized crystal structure of CaGe3Ir5, from Alexandria.

Summary:
Space group = Cmcm (63)

Cell lengths 4.0197, 6.7571, 12.3322 Å; angles 90.00, 90.00, 107.30 degrees
Element x y z (fractional)
Ge 0.6153 0.2305 0.0533
Ge 0.6153 0.2305 0.4467
Ge 0.1246 0.2493 0.7500
Ge 0.3847 0.7695 0.9467
Ge 0.8754 0.7507 0.2500
Ge 0.3847 0.7695 0.5533
Ir 0.5580 0.1161 0.8557
Ir 0.4420 0.8839 0.3557
Ir 0.7987 0.5975 0.0675
Ir 0.7987 0.5975 0.4325
Ir 0.0000 0.0000 0.0000
Ir 0.5580 0.1161 0.6443
Ir 0.2013 0.4025 0.9325
Ir 0.0000 0.0000 0.5000
Ir 0.4420 0.8839 0.1443
Ir 0.2013 0.4025 0.5675
Ca 0.8302 0.6604 0.7500
Ca 0.1698 0.3396 0.2500



# 4
The following is a PBE calculation of an optimized crystal structure of CaGeIr, from Alexandria.

Summary:
Space group = P-6m2 (187)

Cell lengths 4.3383, 4.1834, 4.1834 Å; angles 120.00, 90.00, 90.00 degrees
Element x y z (fractional)
Ir 0.1667 0.0000 0.0000
Ge 0.1667 0.6667 0.3333
Ca 0.6667 0.3333 0.6667



# 5
The following is a PBE calculation of an optimized crystal structure of Ca2GeIr2, from Alexandria.

Summary:
Space group = I4/mmm (139)

Cell lengths 3.5798, 3.5798, 9.3402 Å; angles 78.95, 78.95, 90.00 degrees
Element x y z (fractional)
Ge 0.0000 0.0000 0.0000
Ca 0.6094 0.6094 0.7812
Ca 0.3906 0.3906 0.2188
Ir 0.2500 0.7500 0.5000
Ir 0.7500 0.2500 0.5000



# 6
The following is a PBE calculation of an optimized crystal structure of KCa2GeIr, from Alexandria.

Summary:
Space group = P4/mmm (123)

Cell lengths 5.6631, 5.6631, 4.8206 Å; angles 90.00, 90.00, 90.00 degrees
Element x y z (fractional)
Ge 0.0000 0.0000 0.5000
Ir 0.0000 0.0000 0.0000
K 0.5000 0.5000 0.5000
Ca 0.0000 0.5000 0.0000
Ca 0.5000 0.0000 0.0000



# 7
The following is a PBE calculation of an optimized crystal structure of Li2CaGeIr, from Alexandria.

Summary:
Space group = P4/mmm (123)

Cell lengths 4.7430, 4.7430, 4.6939 Å; angles 90.00, 90.00, 90.00 degrees
Element x y z (fractional)
Li 0.5000 0.0000 0.0000
Li 0.0000 0.5000 0.0000
Ca 0.5000 0.5000 0.5000
Ge 0.0000 0.0000 0.5000
Ir 0.0000 0.0000 0.0000



# 8
The following is a PBE calculation of an optimized crystal structure of LiCaGe2Ir, from Alexandria.

Summary:
Space group = I-4m2 (119)

Cell lengths 4.1970, 4.1970, 6.0259 Å; angles 110.38, 110.38, 90.00 degrees
Element x y z (fractional)
Ge 0.6234 0.6234 0.2469
Ge 0.3766 0.3766 0.7531
Ca 0.0000 0.0000 0.0000
Li 0.2500 0.7500 0.5000
Ir 0.7500 0.2500 0.5000



ΔE_f? In order: -0.457, 0.055, -0.282, -0.554, -0.168, -0.261, -0.267, -0.549 eV per atom.
M_tot? In order: 0.0, 0.0, 0.0, 0.0, 0.0, 0.2, 0.0, 0.0 μB/f.u..
Final energy? In order: -121.69, -24.44, -125.40, -17.14, -27.18, -19.88, -20.64, -24.75 eV for the cell shown.